{"formula": "KAuSe", "functional": "PBE-GGA", "state": "relaxed", "energy_ha_per_atom": -0.0958, "space_group": "I4mm, No. 107", "crystal_system": "tetragonal", "raw_formation_energy_mev_per_atom": 13, "lattice": [[8.354, 0.008, -0.008], [7.815, 2.952, -0.004], [0.539, 0.095, 2.943]], "species": ["K", "Au", "Se"], "fractional_positions": [[0.332, 0.332, 0.668], [0.992, 0.992, 0.008], [0.676, 0.676, 0.324]]}